Record 1
DFT (GGA-PBE) results for crystalline PmZn6CuNi at its relaxed geometry.

Geometry as CIF:
```
data_PmZn6CuNi
_cell_length_a 6.725
_cell_length_b 8.520
_cell_length_c 12.648
_cell_angle_alpha 90.00
_cell_angle_beta 90.00
_cell_angle_gamma 90.00
_symmetry_space_group_name_H-M 'I m m a'
_symmetry_Int_Tables_number 74
_symmetry_space_group_name_Hall '-I 2b 2'
loop_
_atom_site_label
_atom_site_fract_x
_atom_site_fract_y
_atom_site_fract_z
Pm1 0.000 0.250 0.145
Zn1 0.000 0.250 0.411
Zn2 0.000 0.250 0.895
Zn3 0.200 0.013 0.651
Cu1 0.250 0.250 0.750
Ni1 0.000 0.000 0.500
```

Values from the calculation:
total magnetic moment = 0.0000 μB/atom

Record 2
DFT (GGA-PBE) results for crystalline Pm2Zn3Cu12Ni at its relaxed geometry.

Geometry as CIF:
```
data_Pm2Zn3Cu12Ni
_cell_length_a 6.1694
_cell_length_b 6.1694
_cell_length_c 26.6228
_cell_angle_alpha 90.00
_cell_angle_beta 90.00
_cell_angle_gamma 120.00
_symmetry_space_group_name_H-M 'R -3 m'
_symmetry_Int_Tables_number 166
_symmetry_space_group_name_Hall '-R 3 2"'
loop_
_atom_site_label
_atom_site_fract_x
_atom_site_fract_y
_atom_site_fract_z
Pm1 0.0000 0.0000 0.1512
Zn1 0.0000 0.5000 0.0000
Cu1 0.0525 0.5262 0.0969
Cu2 0.0733 0.5367 0.6165
Ni1 0.0000 0.0000 0.5000
```

Values from the calculation:
total magnetic moment = 0.0000 μB/atom

Record 3
DFT (GGA-PBE) results for crystalline PmZnCuNi2 at its relaxed geometry.

Geometry as CIF:
```
data_PmZnCuNi2
_cell_length_a 3.837
_cell_length_b 3.889
_cell_length_c 10.880
_cell_angle_alpha 90.00
_cell_angle_beta 90.00
_cell_angle_gamma 90.00
_symmetry_space_group_name_H-M 'I m m 2'
_symmetry_Int_Tables_number 44
loop_
_symmetry_equiv_pos_as_xyz
'x,y,z'
'-x,-y,z'
'-x,y,z'
'x,-y,z'
'x+1/2,y+1/2,z+1/2'
'-x+1/2,-y+1/2,z+1/2'
'-x+1/2,y+1/2,z+1/2'
'x+1/2,-y+1/2,z+1/2'
loop_
_atom_site_label
_atom_site_fract_x
_atom_site_fract_y
_atom_site_fract_z
Pm1 0.000 0.000 0.000
Zn1 0.000 0.500 0.759
Cu1 0.000 0.000 0.620
Ni1 0.000 0.000 0.399
Ni2 0.000 0.500 0.265
```

Values from the calculation:
total magnetic moment = 0.0000 μB/atom

no.,energy (eV/cell),ΔH_f (0 K) (meV/atom)
1,-82.145,192.8
2,-198.016,125.2
3,-45.729,-236.2